(1)
Computed, not measured: a relaxed TbPm5SmHo2 crystal at the PBE level of DFT.

CIF file:
```
data_TbPm5SmHo2
_symmetry_space_group_name_H-M 'C m c 21'
_symmetry_Int_Tables_number 36
_cell_length_a 5.6593
_cell_length_b 20.2968
_cell_length_c 10.6934
_cell_angle_alpha 90.00
_cell_angle_beta 90.00
_cell_angle_gamma 90.00
loop_
_symmetry_equiv_pos_as_xyz
'x,y,z'
'-x,-y,z+1/2'
'-x,y,z'
'x,-y,z+1/2'
'x+1/2,y+1/2,z'
'-x+1/2,-y+1/2,z+1/2'
'-x+1/2,y+1/2,z'
'x+1/2,-y+1/2,z+1/2'
loop_
_atom_site_label
_atom_site_type_symbol
_atom_site_fract_x
_atom_site_fract_y
_atom_site_fract_z
_atom_site_occupancy
Tb1 Tb 0.0000 0.0886 0.0000 1
Pm1 Pm 0.0000 0.0206 0.2852 1
Pm2 Pm 0.0000 0.1092 0.5684 1
Pm3 Pm 0.0000 0.2025 0.2488 1
Pm4 Pm 0.0000 0.2188 0.8533 1
Pm5 Pm 0.0000 0.4831 0.5660 1
Sm1 Sm 0.0000 0.2993 0.5536 1
Ho1 Ho 0.0000 0.3840 0.8617 1
Ho2 Ho 0.0000 0.3891 0.2808 1
```

Output
Energy: -4.55 eV/atom
Crystal system: orthorhombic
Calculated density: 7.38 Mg/m³
Volume: 34.12 Å³/atom


(2)
Computed, not measured: a relaxed Tb5Pm2SmHo crystal at the PBE level of DFT.

CIF file:
```
data_Tb5Pm2SmHo
_symmetry_space_group_name_H-M 'I 4/m c m'
_symmetry_Int_Tables_number 140
_symmetry_space_group_name_Hall '-I 4 2c'
_cell_length_a 8.7031
_cell_length_b 8.7031
_cell_length_c 15.6309
_cell_angle_alpha 90.00
_cell_angle_beta 90.00
_cell_angle_gamma 90.00
loop_
_atom_site_label
_atom_site_type_symbol
_atom_site_fract_x
_atom_site_fract_y
_atom_site_fract_z
_atom_site_occupancy
Tb1 Tb 0.0000 0.0000 0.0000 1
Tb2 Tb 0.2104 0.2896 0.1385 1
Pm1 Pm 0.1172 0.3828 0.5000 1
Sm1 Sm 0.0000 0.0000 0.2500 1
Ho1 Ho 0.0000 0.5000 0.2500 1
```

Output
Energy: -4.39 eV/atom
Crystal system: tetragonal
Calculated density: 7.85 Mg/m³
Volume: 32.89 Å³/atom